A plane-wave DFT calculation with GGA-PBE was carried out for a relaxed MnTeIr2 crystal.

The structure in POSCAR format:
```
MnTeIr2
1.0
-1.836 -5.994 6.005
0.063 -7.562 4.263
1.142 -5.740 6.411
Ir Mn Te
2 1 1
direct
0.993 0.993 0.993
0.507 0.507 0.507
0.250 0.250 0.250
0.750 0.750 0.750
```

**Formation energy (no corrections)**: 0.35 eV/atom